--- A ---
Computed, not measured: an optimized crystal structure of KOsRh at the PBE level of DFT.

Properties
Total magnetic moment   0.0 μB/cell
Crystal system   trigonal
SG   P3m1

Geometry as extended XYZ:
```
3
Lattice="2.803 0.000 0.000 -1.402 2.428 0.000 0.000 0.000 7.968" Properties=species:S:1:pos:R:3 pbc="T T T"
Rh 0.000 1.618 5.038
K 0.000 0.000 7.952
Os 1.402 0.809 2.946
```

--- B ---
Computed, not measured: an optimized crystal structure of KOsRh at the PBE level of DFT.

Properties
Total magnetic moment   0.0 μB/cell
Crystal system   cubic
SG   F-43m

Geometry as extended XYZ:
```
3
Lattice="0.000 3.169 3.169 3.169 0.000 3.169 3.169 3.169 0.000" Properties=species:S:1:pos:R:3 pbc="T T T"
Os 4.753 4.753 4.753
Rh 0.000 0.000 0.000
K 1.584 1.584 1.584
```

Most stable: A